(1)
The following is a PBE-GGA calculation of a relaxed La3RhAu crystal, from Alexandria.

ΔE_f (eV per atom): -0.67
Excess energy over the best structure of this formula in the dataset (meV per atom): 0
Electronic total energy (eV/atom): -5.75
ρ (kg/m3): 7867
N(E_F) (states/eV/cell): 8.6

```
La3RhAu
1.0
2.0773 -6.7612 0.0000
2.0773 6.7612 0.0000
0.0000 0.0000 10.7689
La Rh Au
6 2 2
Direct
0.0769 0.9231 0.7500 La
0.3622 0.6378 0.5643 La
0.3622 0.6378 0.9357 La
0.6378 0.3622 0.0643 La
0.6378 0.3622 0.4357 La
0.9231 0.0769 0.2500 La
0.0000 0.0000 0.0000 Rh
0.0000 0.0000 0.5000 Rh
0.2509 0.7491 0.2500 Au
0.7491 0.2509 0.7500 Au
```



(2)
The following is a PBE-GGA calculation of a relaxed LaRhAu2 crystal, from Alexandria.

ΔE_f (eV per atom): -0.43
Electronic total energy (eV/atom): -5.14
ρ (kg/m3): 12636
N(E_F) (states/eV/cell): 1.5

```
LaRhAu2
1.0
3.7139 0.0000 0.0000
0.0000 3.7139 0.0000
0.0000 0.0000 6.0569
La Rh Au
1 1 2
Direct
0.0000 0.0000 0.0000 La
0.5000 0.5000 0.2390 Rh
0.0000 0.0000 0.4821 Au
0.5000 0.5000 0.7060 Au
```



(3)
The following is a PBE-GGA calculation of a relaxed La6RhAu2 crystal, from Alexandria.

ΔE_f (eV per atom): -0.54
Electronic total energy (eV/atom): -5.37
ρ (kg/m3): 7622
N(E_F) (states/eV/cell): 20.5

```
La6RhAu2
1.0
7.0626 0.0000 0.0000
0.0000 7.6384 0.0000
-6.2470 0.0000 10.7446
La Rh Au
12 2 4
Direct
0.1122 0.0348 0.2561 La
0.1122 0.4652 0.7561 La
0.2392 0.6798 0.0672 La
0.2392 0.8202 0.5672 La
0.3786 0.1958 0.0628 La
0.3786 0.3042 0.5628 La
0.6214 0.6958 0.4372 La
0.6214 0.8042 0.9372 La
0.7608 0.1798 0.4328 La
0.7608 0.3202 0.9328 La
0.8878 0.5348 0.2439 La
0.8878 0.9652 0.7439 La
0.0000 0.0000 0.0000 Rh
0.0000 0.5000 0.5000 Rh
0.3271 0.1047 0.7719 Au
0.3271 0.3953 0.2719 Au
0.6729 0.6047 0.7281 Au
0.6729 0.8953 0.2281 Au
```